1.
Below is an optimized crystal structure of SrBe2Ru, with properties calculated at the PBE-GGA level.

a b c (Å): 6.5207 4.5370 3.0732
angles (deg): 89.96 61.94 124.01
Fractional coordinates of all 4 atoms:
Be 0.5000 0.0000 0.5000
Be 0.0000 0.0000 0.0000
Sr 0.5000 0.5000 0.0000
Ru 0.0000 0.5000 0.5000

## Properties
**Offset from the most stable computed form**: 0.817 eV per atom
**V**: 62.0 Å³/cell
**Energy relative to the elements**: 0.76 eV per atom
**Calculated density**: 5.533 Mg/m³
**N(E_F)**: 2.57 states/eV/f.u.
**Raw total energy**: -15.38 eV per cell



2.
Below is an optimized crystal structure of Sm8SnRu2, with properties calculated at the PBE-GGA level.

a b c (Å): 5.5485 8.0431 8.0431
angles (deg): 112.84 97.62 97.62
Fractional coordinates of all 11 atoms:
Sm 0.0691 0.3254 0.0680
Sm 0.3000 0.6123 0.6123
Sm 0.9309 0.9320 0.6746
Sm 0.7000 0.3877 0.3877
Sm 0.5000 0.7517 0.2483
Sm 0.9309 0.6746 0.9320
Sm 0.5000 0.2483 0.7517
Sm 0.0691 0.0680 0.3254
Sn 0.5000 0.0000 0.0000
Ru 0.0000 0.6924 0.3076
Ru 0.0000 0.3076 0.6924

## Properties
**V**: 321.2 Å³/cell
**Energy relative to the elements**: -0.23 eV per atom
**Calculated density**: 7.879 Mg/m³
**N(E_F)**: 11.48 states/eV/f.u.
**Raw total energy**: -62.88 eV per cell



3.
Below is an optimized crystal structure of AcTb2Pm5Pr, with properties calculated at the PBE-GGA level.

a b c (Å): 5.6469 12.4533 9.5416
angles (deg): 90.00 90.00 103.10
Fractional coordinates of all 18 atoms:
Pm 0.6893 0.3785 0.2274
Pm 0.5244 0.0488 0.2513
Pm 0.7413 0.4825 0.8604
Pm 0.6031 0.2061 0.5321
Pm 0.0070 0.0139 0.5286
Pm 0.2587 0.5175 0.3604
Pm 0.3107 0.6215 0.7274
Pm 0.3969 0.7939 0.0321
Pm 0.9930 0.9861 0.0286
Pm 0.4756 0.9512 0.7513
Ac 0.3979 0.7957 0.4272
Ac 0.6021 0.2043 0.9272
Tb 0.1120 0.2240 0.2874
Tb 0.1701 0.3403 0.6738
Tb 0.8880 0.7760 0.7874
Tb 0.8299 0.6597 0.1738
Pr 0.2367 0.4734 0.0356
Pr 0.7633 0.5266 0.5356

## Properties
**V**: 653.5 Å³/cell
**Energy relative to the elements**: 0.14 eV per atom
**Calculated density**: 7.169 Mg/m³
**N(E_F)**: 10.86 states/eV/f.u.
**Raw total energy**: -81.23 eV per cell



4.
Below is an optimized crystal structure of Pm4CuSi, with properties calculated at the PBE-GGA level.

a b c (Å): 4.9449 4.9467 7.1213
angles (deg): 89.97 89.97 90.00
Fractional coordinates of all 6 atoms:
Pm 0.5014 0.9975 0.7458
Pm 0.5013 0.9970 0.2504
Pm 0.0012 0.4971 0.2504
Pm 0.0015 0.4973 0.7458
Cu 0.0012 0.9975 0.4982
Si 0.5013 0.4973 0.9981

## Properties
**V**: 174.2 Å³/cell
**Calculated density**: 6.403 Mg/m³
**N(E_F)**: 9.38 states/eV/f.u.
**Energy relative to the elements, uncorrected**: -0.14 eV/atom
**Raw total energy**: -29.36 eV per cell